A plane-wave DFT calculation with PBE was carried out for an optimized crystal structure of YCuSb4.

Calculated values
VASP energy = -25.84 eV for the cell shown
Raw formation energy = 201 meV per atom
Total moment = 0.00 μB/f.u.

Cell and atoms, written as POSCAR:
```
YCuSb4
1.0
0.000 4.348 4.348
4.348 0.000 4.348
4.348 4.348 0.000
Y Cu Sb
1 1 4
Direct
0.750 0.750 0.750 Y
0.000 0.000 0.000 Cu
0.878 0.374 0.374 Sb
0.374 0.374 0.878 Sb
0.374 0.878 0.374 Sb
0.374 0.374 0.374 Sb
```

---

A plane-wave DFT calculation with PBE was carried out for an optimized crystal structure of YCu3Sb.

Calculated values
VASP energy = -17.33 eV for the cell shown
Raw formation energy = 1110 meV per atom
ΔE to the lowest computed polymorph = 746 meV/atom
Total moment = 0.00 μB/f.u.

Cell and atoms, written as POSCAR:
```
YCu3Sb
1.0
5.009 0.000 0.000
0.000 5.009 0.000
0.000 0.000 5.009
Y Sb Cu
1 1 3
Direct
0.000 0.000 0.000 Y
0.500 0.500 0.500 Sb
0.000 0.500 0.000 Cu
0.000 0.000 0.500 Cu
0.500 0.000 0.000 Cu
```

---

A plane-wave DFT calculation with PBE was carried out for an optimized crystal structure of Y2CuSb.

Calculated values
VASP energy = -23.82 eV for the cell shown
Raw formation energy = -669 meV per atom
Total moment = 0.35 μB/f.u.

Cell and atoms, written as POSCAR:
```
Y2CuSb
1.0
4.223 0.000 0.000
0.000 4.211 -0.002
0.000 2.110 5.591
Y Sb Cu
2 1 1
Direct
0.000 0.974 0.927 Y
0.500 0.266 0.343 Y
0.500 0.551 0.773 Sb
0.000 0.709 0.457 Cu
```

---

A plane-wave DFT calculation with PBE was carried out for an optimized crystal structure of Y5Cu2Sb.

Calculated values
VASP energy = -96.39 eV for the cell shown
Raw formation energy = -445 meV per atom
Total moment = 0.00 μB/f.u.

Cell and atoms, written as POSCAR:
```
Y5Cu2Sb
1.0
7.164 0.000 -3.382
-1.596 6.984 -3.382
-0.340 -0.427 8.559
Y Cu Sb
10 4 2
Direct
0.514 0.703 0.716 Y
0.797 0.986 0.284 Y
0.000 0.000 0.000 Y
0.500 0.500 0.000 Y
0.203 0.014 0.716 Y
0.703 0.203 0.716 Y
0.014 0.514 0.716 Y
0.297 0.797 0.284 Y
0.986 0.486 0.284 Y
0.486 0.297 0.284 Y
0.130 0.370 0.000 Cu
0.630 0.130 0.000 Cu
0.370 0.870 0.000 Cu
0.870 0.630 0.000 Cu
0.750 0.750 0.500 Sb
0.250 0.250 0.500 Sb
```

---

A plane-wave DFT calculation with PBE was carried out for an optimized crystal structure of Y2Cu2Sb.

Calculated values
VASP energy = -55.82 eV for the cell shown
Raw formation energy = -534 meV per atom
ΔE to the lowest computed polymorph = 0 meV/atom
Total moment = 0.00 μB/f.u.

Cell and atoms, written as POSCAR:
```
Y2Cu2Sb
1.0
7.238 0.000 0.000
0.000 7.238 0.000
0.000 0.000 4.092
Y Sb Cu
4 2 4
Direct
0.172 0.672 0.500 Y
0.672 0.828 0.500 Y
0.828 0.328 0.500 Y
0.328 0.172 0.500 Y
0.000 0.000 0.000 Sb
0.500 0.500 0.000 Sb
0.379 0.879 0.000 Cu
0.879 0.621 0.000 Cu
0.621 0.121 0.000 Cu
0.121 0.379 0.000 Cu
```

---

A plane-wave DFT calculation with PBE was carried out for an optimized crystal structure of Y2CuSb.

Calculated values
VASP energy = -22.13 eV for the cell shown
Raw formation energy = -245 meV per atom
Total moment = 0.00 μB/f.u.

Cell and atoms, written as POSCAR:
```
Y2CuSb
1.0
3.549 0.000 0.000
0.000 3.549 0.000
0.000 0.000 8.054
Cu Sb Y
1 1 2
Direct
0.000 0.000 0.517 Cu
0.500 0.500 0.702 Sb
0.000 0.000 0.969 Y
0.500 0.500 0.311 Y
```

---

A plane-wave DFT calculation with PBE was carried out for an optimized crystal structure of Y4CuSb.

Calculated values
VASP energy = -31.81 eV for the cell shown
Raw formation energy = 377 meV per atom
Total moment = 0.00 μB/f.u.

Cell and atoms, written as POSCAR:
```
Y4CuSb
1.0
1.914 -3.950 4.437
-0.747 1.469 6.019
-4.187 -3.068 3.465
Y Cu Sb
4 1 1
Direct
0.876 0.375 0.375 Y
0.375 0.375 0.876 Y
0.375 0.876 0.375 Y
0.375 0.375 0.375 Y
0.750 0.750 0.750 Cu
0.000 0.000 0.000 Sb
```

---

A plane-wave DFT calculation with PBE was carried out for an optimized crystal structure of Y2CuSb.

Calculated values
VASP energy = -23.00 eV for the cell shown
Raw formation energy = -464 meV per atom
Total moment = 0.00 μB/f.u.

Cell and atoms, written as POSCAR:
```
Y2CuSb
1.0
4.286 0.000 0.000
0.000 6.606 -0.001
0.000 4.720 3.828
Cu Sb Y
1 1 2
Direct
0.500 0.500 0.500 Cu
0.000 0.000 0.500 Sb
0.000 0.000 0.000 Y
0.500 0.500 0.000 Y
```